A plane-wave DFT calculation with SCAN was carried out for a crystal of LiYTeMo2 relaxed with PBEsol.

## Properties
SG   No. 123
Uncorrected energy   -25.63 eV per atom
E_form (uncorrected)   1.8205 eV/atom

Unit cell a=4.8285 b=4.8239 c=4.8239 alpha=90.00 beta=90.00 gamma=90.00
Last column: magnetic moment on the atom in μB.
Sites, in units of the cell vectors:
Y1 0.0000 0.0000 0.0000  0.01
Mo1 0.0000 0.0000 0.5000  1.37
Mo2 0.0000 0.5000 0.0000  1.37
Te1 0.5000 0.5000 0.5000  -0.10
Li1 0.5000 0.0000 0.0000  -0.01



A plane-wave DFT calculation with SCAN was carried out for a crystal of Li3TiMo relaxed with PBEsol.

## Properties
SG   No. 221
Uncorrected energy   -10.32 eV per atom
ΔH_f (0 K)   1294 meV per atom

Unit cell a=4.6081 b=4.6081 c=4.6081 alpha=90.00 beta=90.00 gamma=90.00
Last column: magnetic moment on the atom in μB.
Sites, in units of the cell vectors:
Mo1 0.0000 0.0000 0.0000  3.40
Li1 0.0000 0.5000 0.0000  0.04
Li2 0.0000 0.0000 0.5000  0.04
Li3 0.5000 0.0000 0.0000  0.04
Ti1 0.5000 0.5000 0.5000  -1.87



> What is the uncorrected energy in the second record?

-10.32 eV per atom